Computed, not measured: a relaxed Pm2Sm4Er5 crystal at the PBE level of DFT.

Results
Calculated volume (A^3/atom): 32.4
Calculated formation energy (eV/f.u.): 0.21
Polymorph energy (0 for the lowest one) (kJ/mol of formula units): 0
Total energy (eV/f.u.): -51.0
Density (Mg/m³): 8.06

Cell: 3.572 8.757 11.870 Å, 75.96 81.38 90.00°
Sites, in units of the cell vectors:
Pm: 0.093 0.232 0.316
Pm: 0.907 0.768 0.684
Sm: 0.182 0.954 0.136
Sm: 0.455 0.140 0.591
Sm: 0.545 0.860 0.409
Sm: 0.818 0.046 0.864
Er: 0.000 0.500 0.500
Er: 0.271 0.678 0.957
Er: 0.363 0.409 0.774
Er: 0.637 0.591 0.226
Er: 0.729 0.322 0.043